First-principles (PBE with a Hubbard U) data for a relaxed structure of ScCoAsO, as listed in OQMD via LeMat-Bulk.

Values from the calculation:
Total magnetization, μB/f.u.: 0.51
Mass density, g cm⁻³: 5.9
E, eV/cell: -53.9
Distance to the lowest polymorph of the same formula, meV/atom: 0.0

Cell: 3.783 3.783 7.613 Å, 90.00 90.00 90.00°
Positions (direct):
Sc 0.250 0.250 0.128
Sc 0.750 0.750 0.872
Co 0.250 0.750 0.500
Co 0.750 0.250 0.500
As 0.250 0.250 0.665
As 0.750 0.750 0.335
O 0.250 0.750 0.000
O 0.750 0.250 0.000